VASP calculation (PBE-GGA) on crystalline NaDyZnTe3 at its relaxed geometry.

Results
SG: C2/m (12)
Distance to the lowest polymorph of the same formula in meV/atom: 111.0

a = 10.4281 Å, b = 10.4281 Å, c = 8.6850 Å
α = 102.40°, β = 102.40°, γ = 23.97°
Last column: nearest neighbours and their distance in Å.
Positions (direct):
1 Na 0.1187 0.1187 0.0671  6 Te 3.20-3.35
2 Na 0.8813 0.8813 0.9329  6 Te 3.20-3.35
3 Dy 0.1725 0.1725 0.5768  5 Te 3.03-3.07
4 Dy 0.8275 0.8275 0.4232  5 Te 3.03-3.07
5 Zn 0.4598 0.4598 0.2745  4 Te 2.62-2.91
6 Zn 0.5402 0.5402 0.7255  4 Te 2.62-2.91
7 Te 0.0000 0.0000 0.5000  4 Zn 2.91
8 Te 0.3250 0.3250 0.6652  3 Dy 3.03-3.04, 2 Na 3.20
9 Te 0.3288 0.3288 0.1737  1 Zn 2.62
10 Te 0.5000 0.5000 0.0000  2 Zn 2.69
11 Te 0.6712 0.6712 0.8263  1 Zn 2.62
12 Te 0.6750 0.6750 0.3348  3 Dy 3.03-3.04, 2 Na 3.20

---

VASP calculation (PBE-GGA) on crystalline NdPbW at its relaxed geometry.

Results
SG: F-43m (216)
Distance to the lowest polymorph of the same formula in meV/atom: 0.0

a = 6.9426 Å, b = 6.9426 Å, c = 6.9426 Å
α = 90.00°, β = 90.00°, γ = 90.00°
Last column: nearest neighbours and their distance in Å.
Positions (direct):
1 Nd 0.0000 0.0000 0.0000  4 W 3.01
2 Nd 0.0000 0.5000 0.5000  4 W 3.01
3 Nd 0.5000 0.0000 0.5000  4 W 3.01
4 Nd 0.5000 0.5000 0.0000  4 W 3.01
5 Pb 0.0000 0.0000 0.5000  4 W 3.01
6 Pb 0.0000 0.5000 0.0000  4 W 3.01
7 Pb 0.5000 0.0000 0.0000  4 W 3.01
8 Pb 0.5000 0.5000 0.5000  4 W 3.01
9 W 0.2500 0.2500 0.2500  4 Pb 3.01, 4 Nd 3.01
10 W 0.2500 0.7500 0.7500  4 Pb 3.01, 4 Nd 3.01
11 W 0.7500 0.2500 0.7500  4 Pb 3.01, 4 Nd 3.01
12 W 0.7500 0.7500 0.2500  4 Pb 3.01, 4 Nd 3.01

---

VASP calculation (PBE-GGA) on crystalline GdGePt2 at its relaxed geometry.

Results
E in eV/atom: -6.1444
SG: Pmc2_1 (26)

a = 4.1478 Å, b = 5.7432 Å, c = 7.0234 Å
α = 90.00°, β = 90.00°, γ = 90.00°
Last column: nearest neighbours and their distance in Å.
Positions (direct):
1 Gd 0.0000 0.1820 0.0000  7 Pt 2.81-3.08
2 Gd 0.0000 0.8180 0.5000  7 Pt 2.81-3.08
3 Ge 0.5000 0.3306 0.6070  3 Pt 2.50
4 Ge 0.5000 0.6694 0.1070  3 Pt 2.50
5 Pt 0.0000 0.3426 0.4079  2 Ge 2.50
6 Pt 0.0000 0.6574 0.9079  2 Ge 2.50
7 Pt 0.5000 0.0530 0.2747  1 Ge 2.50
8 Pt 0.5000 0.9470 0.7747  1 Ge 2.50

---

VASP calculation (PBE-GGA) on crystalline YLuAlCo at its relaxed geometry.

Results
SG: F-43m (216)
Distance to the lowest polymorph of the same formula in meV/atom: 0.0

a = 6.7384 Å, b = 6.7384 Å, c = 6.7384 Å
α = 90.00°, β = 90.00°, γ = 90.00°
Last column: nearest neighbours and their distance in Å.
Positions (direct):
1 Y 0.0000 0.0000 0.0000  4 Lu 2.92, 4 Co 2.92
2 Y 0.0000 0.5000 0.5000  4 Lu 2.92, 4 Co 2.92
3 Y 0.5000 0.0000 0.5000  4 Lu 2.92, 4 Co 2.92
4 Y 0.5000 0.5000 0.0000  4 Lu 2.92, 4 Co 2.92
5 Lu 0.2500 0.2500 0.2500  4 Al 2.92, 4 Y 2.92
6 Lu 0.2500 0.7500 0.7500  4 Al 2.92, 4 Y 2.92
7 Lu 0.7500 0.2500 0.7500  4 Al 2.92, 4 Y 2.92
8 Lu 0.7500 0.7500 0.2500  4 Al 2.92, 4 Y 2.92
9 Al 0.0000 0.0000 0.5000  4 Co 2.92, 4 Lu 2.92
10 Al 0.0000 0.5000 0.0000  4 Co 2.92, 4 Lu 2.92
11 Al 0.5000 0.0000 0.0000  4 Co 2.92, 4 Lu 2.92
12 Al 0.5000 0.5000 0.5000  4 Co 2.92, 4 Lu 2.92
13 Co 0.2500 0.2500 0.7500  4 Al 2.92, 4 Y 2.92
14 Co 0.2500 0.7500 0.2500  4 Al 2.92, 4 Y 2.92
15 Co 0.7500 0.2500 0.2500  4 Al 2.92, 4 Y 2.92
16 Co 0.7500 0.7500 0.7500  4 Al 2.92, 4 Y 2.92